# LiBi2PbO6

Crystalline LiBi2PbO6 at its relaxed geometry (PBE-GGA, Alexandria via LeMat-Bulk).

## Properties
- Crystal system: trigonal
- E_form (uncorrected): -1.132 eV per atom
- VASP energy: -5.44 eV/atom

Unit cell a=6.2526 b=6.2526 c=6.2526 alpha=54.94 beta=54.94 gamma=54.94
Closest atoms and distances in Å follow each position.
Fractional coordinates of all 10 atoms:
1 Li 0.0000 0.0000 0.0000  3 O 2.08
2 Bi 0.2408 0.2408 0.2408  6 O 2.30-2.31
3 Bi 0.7440 0.7440 0.7440  6 O 2.35-2.39
4 Pb 0.5399 0.5399 0.5399  6 O 2.17-2.30
5 O 0.1617 0.4446 0.8345  1 Pb 2.17, 2 Bi 2.31-2.35
6 O 0.3425 0.9293 0.6422  1 Li 2.08, 1 Pb 2.30, 1 Bi 2.30
7 O 0.4446 0.8345 0.1617  1 Pb 2.17, 2 Bi 2.31-2.35
8 O 0.6422 0.3425 0.9293  1 Li 2.08, 1 Pb 2.30, 1 Bi 2.30
9 O 0.8345 0.1617 0.4446  1 Pb 2.17, 2 Bi 2.31-2.35
10 O 0.9293 0.6422 0.3425  1 Li 2.08, 1 Pb 2.30, 1 Bi 2.30


# LiBiPb2O4

Crystalline LiBiPb2O4 at its relaxed geometry (PBE-GGA, Alexandria via LeMat-Bulk).

## Properties
- Crystal system: orthorhombic
- E_form (uncorrected): -1.263 eV per atom
- VASP energy: -5.39 eV/atom

Unit cell a=4.3869 b=7.4235 c=10.1290 alpha=90.00 beta=90.00 gamma=90.00
Closest atoms and distances in Å follow each position.
Fractional coordinates of all 16 atoms:
1 Li 0.2500 0.2500 0.1895  4 O 2.03-2.20
2 Li 0.7500 0.7500 0.8105  4 O 2.03-2.20
3 Bi 0.2500 0.7500 0.0934  4 O 2.15-2.30
4 Bi 0.7500 0.2500 0.9066  4 O 2.15-2.30
5 Pb 0.2500 0.0075 0.6786  4 O 2.22-2.42
6 Pb 0.2500 0.4925 0.6786  4 O 2.22-2.42
7 Pb 0.7500 0.5075 0.3214  4 O 2.22-2.42
8 Pb 0.7500 0.9925 0.3214  4 O 2.22-2.42
9 O 0.2500 0.2500 0.8381  2 Bi 2.30, 2 Pb 2.42
10 O 0.2500 0.5200 0.2228  1 Li 2.03, 1 Bi 2.15
11 O 0.2500 0.7500 0.7895  2 Li 2.20, 2 Pb 2.22
12 O 0.2500 0.9800 0.2228  1 Li 2.03, 1 Bi 2.15
13 O 0.7500 0.0200 0.7772  1 Li 2.03, 1 Bi 2.15
14 O 0.7500 0.2500 0.2105  2 Li 2.20, 2 Pb 2.22
15 O 0.7500 0.4800 0.7772  1 Li 2.03, 1 Bi 2.15
16 O 0.7500 0.7500 0.1619  2 Bi 2.30, 2 Pb 2.42


Question: Which value of E_form (uncorrected) does entry 2 give?
Answer: -1.263 eV per atom